[1]
Computed, not measured: CuHIrRu2 after structural relaxation at the PBE level of DFT.

Summary:
VASP energy, eV/atom: -6.6808
M_tot, μB per formula unit: 1.44
D(E_F), states/eV/cell: 6.5

Cell and atoms, written as POSCAR:
```
CuHIrRu2
1.0
-3.6016 -1.3890 -0.0813
1.2150 -3.2496 1.6945
-0.6795 1.5586 3.4763
Ru Ir H Cu
2 1 1 1
direct
0.0000 0.5000 0.0000 Ru
0.5000 0.0000 0.0000 Ru
0.5000 0.5000 0.5000 Ir
0.0000 0.0000 0.0000 H
0.0000 0.0000 0.5000 Cu
```

=====

[2]
Computed, not measured: CuSbH6Ir2 after structural relaxation at the PBE level of DFT.

Summary:
VASP energy, eV/atom: -4.5025
M_tot, μB per formula unit: 0.00
D(E_F), states/eV/cell: 2.6

Cell and atoms, written as POSCAR:
```
CuSbH6Ir2
1.0
7.7874 0.4143 -0.3854
-0.5422 7.7795 -0.3854
-2.6438 -2.9899 3.7637
Sb H Cu Ir
2 12 2 4
direct
0.1731 0.8269 0.2500 Sb
0.8269 0.1731 0.7500 Sb
0.5192 0.6751 0.7671 H
0.4808 0.3249 0.2329 H
0.2423 0.3236 0.8457 H
0.0105 0.3851 0.5449 H
0.3249 0.4808 0.7329 H
0.3851 0.0105 0.0449 H
0.6764 0.7577 0.6543 H
0.6751 0.5192 0.2671 H
0.9895 0.6149 0.4551 H
0.7577 0.6764 0.1543 H
0.6149 0.9895 0.9551 H
0.3236 0.2423 0.3457 H
0.2898 0.7102 0.7500 Cu
0.7102 0.2898 0.2500 Cu
0.1140 0.2234 0.3723 Ir
0.2234 0.1140 0.8723 Ir
0.7766 0.8860 0.1277 Ir
0.8860 0.7766 0.6277 Ir
```

=====

[3]
Computed, not measured: ScCuH6Ir2 after structural relaxation at the PBE level of DFT.

Summary:
VASP energy, eV/atom: -5.0323
M_tot, μB per formula unit: 0.00
D(E_F), states/eV/cell: 1.5

Cell and atoms, written as POSCAR:
```
ScCuH6Ir2
1.0
-5.0242 -0.6621 -2.9132
-2.1418 -1.2016 5.3044
0.2374 5.1219 0.2530
H Ir Cu Sc
12 4 2 2
direct
0.1379 0.1342 0.5520 H
0.8621 0.8658 0.4480 H
0.3248 0.5065 0.3731 H
0.0926 0.5350 0.8700 H
0.9074 0.4650 0.1300 H
0.1342 0.1379 0.0520 H
0.8658 0.8621 0.9480 H
0.6752 0.4935 0.6269 H
0.5065 0.3248 0.8731 H
0.4935 0.6752 0.1269 H
0.4650 0.9074 0.6300 H
0.5350 0.0926 0.3700 H
0.9340 0.6755 0.6791 Ir
0.0660 0.3245 0.3209 Ir
0.6755 0.9340 0.1791 Ir
0.3245 0.0660 0.8209 Ir
0.5943 0.4057 0.2500 Cu
0.4057 0.5943 0.7500 Cu
0.1789 0.8211 0.2500 Sc
0.8211 0.1789 0.7500 Sc
```

=====

[4]
Computed, not measured: ScCuH8Ir2 after structural relaxation at the PBE level of DFT.

Summary:
VASP energy, eV/atom: -4.6684
M_tot, μB per formula unit: 0.00
D(E_F), states/eV/cell: 2.0

Cell and atoms, written as POSCAR:
```
ScCuH8Ir2
1.0
4.3079 0.0000 0.0000
2.1540 4.0505 0.1158
2.1540 1.6635 5.3866
H Ir Sc Cu
8 2 1 1
direct
0.9078 0.0166 0.6770 H
0.6015 0.9834 0.3230 H
0.9152 0.5341 0.6354 H
0.0922 0.9834 0.3230 H
0.3985 0.0166 0.6770 H
0.0848 0.4659 0.3646 H
0.7502 0.3845 0.1151 H
0.2498 0.6155 0.8849 H
0.7056 0.7426 0.8463 Ir
0.2944 0.2574 0.1537 Ir
0.5000 0.5000 0.5000 Sc
0.0000 0.0000 0.0000 Cu
```

=====

[5]
Computed, not measured: Sc2CuHIr after structural relaxation at the PBE level of DFT.

Summary:
VASP energy, eV/atom: -6.3244
M_tot, μB per formula unit: 0.00
D(E_F), states/eV/cell: 4.0

Cell and atoms, written as POSCAR:
```
Sc2CuHIr
1.0
4.4890 0.0000 0.0000
0.0000 4.4890 0.0000
0.0000 0.0000 3.5869
H Ir Cu Sc
1 1 1 2
direct
0.0000 0.0000 0.0000 H
0.0000 0.0000 0.5000 Ir
0.5000 0.5000 0.5000 Cu
0.0000 0.5000 0.0000 Sc
0.5000 0.0000 0.0000 Sc
```

=====

[6]
Computed, not measured: Sc2CuHIr after structural relaxation at the PBE level of DFT.

Summary:
VASP energy, eV/atom: -6.3928
M_tot, μB per formula unit: 0.00
D(E_F), states/eV/cell: 2.3

Cell and atoms, written as POSCAR:
```
Sc2CuHIr
1.0
-1.5406 -3.1490 -2.9477
-0.2126 -3.0708 3.3917
-3.1420 0.9318 0.6467
Cu Sc H Ir
1 2 1 1
direct
0.0000 0.0000 0.5000 Cu
0.0000 0.5000 0.0000 Sc
0.5000 0.0000 0.0000 Sc
0.0000 0.0000 0.0000 H
0.5000 0.5000 0.5000 Ir
```

=====

[7]
Computed, not measured: SmCuH6Ir after structural relaxation at the PBE level of DFT.

Summary:
VASP energy, eV/atom: -4.5051
M_tot, μB per formula unit: 0.00
D(E_F), states/eV/cell: 1.2

Cell and atoms, written as POSCAR:
```
SmCuH6Ir
1.0
-1.7326 3.9610 1.6309
-3.8657 1.7554 -1.8239
-2.3580 -2.2124 2.8684
H Cu Ir Sm
6 1 1 1
direct
0.4936 0.4950 0.7651 H
0.4950 0.0114 0.7651 H
0.4950 0.4936 0.2348 H
0.0113 0.4936 0.7651 H
0.0113 0.4951 0.2348 H
0.4936 0.0114 0.2348 H
0.6666 0.6667 0.5000 Cu
0.3333 0.3333 0.5000 Ir
0.0000 0.0000 0.0000 Sm
```

=====

[8]
Computed, not measured: SmCuH8Ir2 after structural relaxation at the PBE level of DFT.

Summary:
VASP energy, eV/atom: -4.5638
M_tot, μB per formula unit: 0.00
D(E_F), states/eV/cell: 1.6

Cell and atoms, written as POSCAR:
```
SmCuH8Ir2
1.0
-4.6644 -0.6824 0.1521
-1.7558 -4.3666 -0.3082
-1.8906 -2.1692 5.4145
Ir H Sm Cu
2 8 1 1
direct
0.7147 0.7147 0.8558 Ir
0.2853 0.2853 0.1442 Ir
0.0769 0.3705 0.8277 H
0.7249 0.0769 0.8277 H
0.9231 0.6295 0.1723 H
0.1861 0.1861 0.4418 H
0.3705 0.7249 0.8277 H
0.2751 0.9231 0.1723 H
0.8139 0.8139 0.5582 H
0.6295 0.2751 0.1723 H
0.5000 0.5000 0.5000 Sm
0.0000 0.0000 0.0000 Cu
```